Entry 1:
First-principles (meta-GGA SCAN) data for a PBEsol-optimized structure of SrZr2Te, as listed in the Alexandria database.

a b c (Å): 4.431 4.431 5.058
angles (deg): 90.00 90.00 90.00
Positions (direct):
1 Sr 0.000 0.000 0.000
2 Zr 0.000 0.500 0.500
3 Zr 0.500 0.000 0.500
4 Te 0.500 0.500 0.000

Properties
Raw formation energy (eV/atom): 0.000
Symmetry: No. 123

=====

Entry 2:
First-principles (meta-GGA SCAN) data for a PBEsol-optimized structure of MnHg2S3, as listed in the Alexandria database.

a b c (Å): 4.078 4.078 9.906
angles (deg): 90.00 90.00 120.00
Positions (direct):
1 Mn 0.000 0.000 0.000
2 Hg 0.333 0.667 0.667
3 Hg 0.667 0.333 0.318
4 S 0.000 0.000 0.763
5 S 0.333 0.667 0.413
6 S 0.667 0.333 0.062

Properties
Raw formation energy (eV/atom): -0.458
Symmetry: No. 156

=====

Entry 3:
First-principles (meta-GGA SCAN) data for a PBEsol-optimized structure of LaHgOF2, as listed in the Alexandria database.

a b c (Å): 4.597 4.597 4.175
angles (deg): 90.00 90.00 90.00
Positions (direct):
1 La 0.000 0.000 0.000
2 Hg 0.500 0.500 0.500
3 O 0.500 0.500 0.000
4 F 0.000 0.500 0.500
5 F 0.500 0.000 0.500

Properties
ΔE to the lowest computed polymorph (meV per atom): 877
Raw formation energy (eV/atom): -1.750
Symmetry: No. 123

=====

Entry 4:
First-principles (meta-GGA SCAN) data for a PBEsol-optimized structure of K2CdAg, as listed in the Alexandria database.

a b c (Å): 4.847 6.654 6.654
angles (deg): 42.54 90.00 90.00
Positions (direct):
1 K 0.000 0.000 0.000
2 K 0.500 0.297 0.297
3 Cd 0.000 0.703 0.703
4 Ag 0.500 0.594 0.594

Properties
ΔE to the lowest computed polymorph (meV per atom): 0
Formation enthalpy at 0 K (eV per atom): -0.0312
Symmetry: No. 38

=====

Entry 5:
First-principles (meta-GGA SCAN) data for a PBEsol-optimized structure of Ca2LaC, as listed in the Alexandria database.

a b c (Å): 7.218 7.218 7.218
angles (deg): 96.41 96.41 140.97
Positions (direct):
1 Ca 0.375 0.225 0.350
2 Ca 0.775 0.125 0.150
3 Ca 0.875 0.025 0.650
4 Ca 0.975 0.625 0.850
5 La 0.250 0.750 0.500
6 La 0.500 0.500 0.000
7 C 0.000 0.000 0.000
8 C 0.750 0.250 0.500

Properties
Formation enthalpy at 0 K (eV per atom): 0.3227
Symmetry: No. 122

=====

Entry 6:
First-principles (meta-GGA SCAN) data for a PBEsol-optimized structure of CoRe2Cl, as listed in the Alexandria database.

a b c (Å): 5.000 5.000 5.000
angles (deg): 147.43 128.83 61.98
Positions (direct):
1 Co 0.000 0.000 0.000
2 Re 0.266 0.766 0.500
3 Re 0.536 0.536 0.000
4 Cl 0.771 0.271 0.500

Properties
ΔE to the lowest computed polymorph (meV per atom): 461
Raw formation energy (eV/atom): 1.013
Symmetry: No. 44